No. 1
DFT (PBE) results for KMn2As2 after structural relaxation.

Cell lengths 8.145, 8.145, 2.965 Å; angles 90.00, 90.00, 90.00 degrees
Element x y z (fractional)
K (0.000, 0.000, 0.000)
K (0.500, 0.500, 0.000)
Mn (0.122, 0.378, 0.500)
Mn (0.378, 0.878, 0.500)
Mn (0.622, 0.122, 0.500)
Mn (0.878, 0.622, 0.500)
As (0.152, 0.652, 0.000)
As (0.348, 0.152, 0.000)
As (0.652, 0.848, 0.000)
As (0.848, 0.348, 0.000)

Computed properties:
Electronic total energy   -5.68 eV/atom
Energy of formation from the pure elements   0.0675 eV/atom
Theoretical density   5.05 Mg/m³



No. 2
DFT (PBE) results for SmAlGe after structural relaxation.

Cell lengths 4.227, 4.227, 14.688 Å; angles 90.00, 90.00, 90.00 degrees
Element x y z (fractional)
Sm (0.000, 0.000, 0.000)
Sm (0.000, 0.500, 0.250)
Sm (0.500, 0.000, 0.750)
Sm (0.500, 0.500, 0.500)
Al (0.000, 0.000, 0.416)
Al (0.000, 0.500, 0.666)
Al (0.500, 0.000, 0.166)
Al (0.500, 0.500, 0.916)
Ge (0.000, 0.000, 0.582)
Ge (0.000, 0.500, 0.832)
Ge (0.500, 0.000, 0.332)
Ge (0.500, 0.500, 0.082)

Computed properties:
Electronic total energy   -5.03 eV/atom
Energy of formation from the pure elements   -0.6667 eV/atom
Theoretical density   6.33 Mg/m³



No. 3
DFT (PBE) results for HoIn9Rh2 after structural relaxation.

Cell lengths 9.479, 9.479, 9.479 Å; angles 98.27, 98.27, 135.41 degrees
Element x y z (fractional)
Ho (0.375, 0.625, 0.750)
Ho (0.625, 0.375, 0.250)
In (0.100, 0.548, 0.311)
In (0.100, 0.789, 0.551)
In (0.125, 0.875, 0.250)
In (0.211, 0.263, 0.311)
In (0.211, 0.900, 0.949)
In (0.263, 0.211, 0.811)
In (0.263, 0.452, 0.051)
In (0.452, 0.263, 0.551)
In (0.452, 0.900, 0.189)
In (0.548, 0.100, 0.811)
In (0.548, 0.737, 0.449)
In (0.737, 0.548, 0.949)
In (0.737, 0.789, 0.189)
In (0.789, 0.100, 0.051)
In (0.789, 0.737, 0.689)
In (0.875, 0.125, 0.750)
In (0.900, 0.211, 0.449)
In (0.900, 0.452, 0.689)
Rh (0.000, 0.000, 0.000)
Rh (0.000, 0.000, 0.500)
Rh (0.000, 0.500, 0.000)
Rh (0.500, 0.000, 0.500)

Computed properties:
Electronic total energy   -3.78 eV/atom
Energy of formation from the pure elements   -0.1164 eV/atom
Theoretical density   8.43 Mg/m³



No. 4
DFT (PBE) results for MgTlSi2 after structural relaxation.

Cell lengths 3.049, 3.049, 31.677 Å; angles 90.00, 90.00, 120.00 degrees
Element x y z (fractional)
Mg (0.000, 0.000, 0.000)
Mg (0.333, 0.667, 0.667)
Mg (0.667, 0.333, 0.333)
Tl (0.000, 0.000, 0.500)
Tl (0.333, 0.667, 0.167)
Tl (0.667, 0.333, 0.833)
Si (0.000, 0.000, 0.259)
Si (0.000, 0.000, 0.741)
Si (0.333, 0.667, 0.407)
Si (0.333, 0.667, 0.926)
Si (0.667, 0.333, 0.074)
Si (0.667, 0.333, 0.593)

Computed properties:
Formation energy from raw total energies   0.457 eV/atom
Electronic total energy   -3.25 eV/atom
Excess energy over the best structure of this formula in the dataset   0.299 eV per atom
Theoretical density   5.56 Mg/m³



No. 5
DFT (PBE) results for Dy6Tl2C after structural relaxation.

Cell lengths 6.933, 6.933, 6.933 Å; angles 60.00, 60.00, 60.00 degrees
Element x y z (fractional)
Dy (0.245, 0.245, 0.755)
Dy (0.245, 0.755, 0.245)
Dy (0.245, 0.755, 0.755)
Dy (0.755, 0.245, 0.245)
Dy (0.755, 0.245, 0.755)
Dy (0.755, 0.755, 0.245)
Tl (0.250, 0.250, 0.250)
Tl (0.750, 0.750, 0.750)
C (0.000, 0.000, 0.000)

Computed properties:
Electronic total energy   -4.96 eV/atom
Energy of formation from the pure elements   -0.3447 eV/atom
Excess energy over the best structure of this formula in the dataset   0.000 eV per atom
Theoretical density   9.83 Mg/m³



No. 6
DFT (PBE) results for Pm2Al3GaAu4 after structural relaxation.

Cell lengths 4.410, 4.410, 10.505 Å; angles 90.00, 90.00, 90.00 degrees
Element x y z (fractional)
Pm (0.000, 0.500, 0.249)
Pm (0.500, 0.000, 0.751)
Al (0.000, 0.500, 0.869)
Al (0.500, 0.000, 0.131)
Al (0.500, 0.500, 0.500)
Ga (0.000, 0.000, 0.500)
Au (0.000, 0.000, 0.000)
Au (0.000, 0.500, 0.633)
Au (0.500, 0.000, 0.367)
Au (0.500, 0.500, 0.000)

Computed properties:
Electronic total energy   -4.40 eV/atom
Energy of formation from the pure elements   -0.7182 eV/atom
Theoretical density   9.99 Mg/m³



No. 7
DFT (PBE) results for SrLiTbCd after structural relaxation.

Cell lengths 7.793, 7.793, 7.793 Å; angles 90.00, 90.00, 90.00 degrees
Element x y z (fractional)
Sr (0.000, 0.000, 0.000)
Sr (0.000, 0.500, 0.500)
Sr (0.500, 0.000, 0.500)
Sr (0.500, 0.500, 0.000)
Li (0.250, 0.250, 0.750)
Li (0.250, 0.750, 0.250)
Li (0.750, 0.250, 0.250)
Li (0.750, 0.750, 0.750)
Tb (0.000, 0.000, 0.500)
Tb (0.000, 0.500, 0.000)
Tb (0.500, 0.000, 0.000)
Tb (0.500, 0.500, 0.500)
Cd (0.250, 0.250, 0.250)
Cd (0.250, 0.750, 0.750)
Cd (0.750, 0.250, 0.750)
Cd (0.750, 0.750, 0.250)

Computed properties:
Electronic total energy   -2.36 eV/atom
Energy of formation from the pure elements   -0.0710 eV/atom
Theoretical density   5.13 Mg/m³



No. 8
DFT (PBE) results for ErP2PbO8 after structural relaxation.

Cell lengths 5.405, 5.405, 7.350 Å; angles 90.00, 90.00, 120.00 degrees
Element x y z (fractional)
Er (0.000, 0.000, 0.000)
P (0.333, 0.667, 0.269)
P (0.667, 0.333, 0.731)
Pb (0.000, 0.000, 0.500)
O (0.176, 0.355, 0.199)
O (0.178, 0.824, 0.199)
O (0.333, 0.667, 0.480)
O (0.355, 0.178, 0.801)
O (0.645, 0.822, 0.199)
O (0.667, 0.333, 0.520)
O (0.822, 0.176, 0.801)
O (0.824, 0.645, 0.801)

Computed properties:
Formation energy from raw total energies   -2.304 eV/atom
Electronic total energy   -7.20 eV/atom
Theoretical density   5.04 Mg/m³



No. 9
DFT (PBE) results for CsBe3Au after structural relaxation.

Cell lengths 4.666, 4.666, 4.666 Å; angles 90.00, 90.00, 90.00 degrees
Element x y z (fractional)
Cs (0.000, 0.000, 0.000)
Be (0.000, 0.500, 0.500)
Be (0.500, 0.000, 0.500)
Be (0.500, 0.500, 0.000)
Au (0.500, 0.500, 0.500)

Computed properties:
Electronic total energy   -2.54 eV/atom
Energy of formation from the pure elements   0.5222 eV/atom
Excess energy over the best structure of this formula in the dataset   0.000 eV per atom
Theoretical density   5.83 Mg/m³



No. 10
DFT (PBE) results for LiLa2CuN after structural relaxation.

Cell lengths 5.189, 5.189, 3.922 Å; angles 90.00, 90.00, 90.00 degrees
Element x y z (fractional)
Li (0.000, 0.000, 0.000)
La (0.000, 0.500, 0.500)
La (0.500, 0.000, 0.500)
Cu (0.500, 0.500, 0.000)
N (0.500, 0.500, 0.500)

Computed properties:
Formation energy from raw total energies   -0.352 eV/atom
Electronic total energy   -5.19 eV/atom
Excess energy over the best structure of this formula in the dataset   0.168 eV per atom
Theoretical density   5.70 Mg/m³



No. 11
DFT (PBE) results for La4CuIrCl2 after structural relaxation.

Cell lengths 7.245, 4.243, 7.921 Å; angles 90.00, 107.84, 90.00 degrees
Element x y z (fractional)
La (0.232, 0.000, 0.209)
La (0.250, 0.500, 0.788)
La (0.750, 0.500, 0.212)
La (0.768, 0.000, 0.791)
Cu (0.500, 0.000, 0.000)
Ir (0.000, 0.500, 0.000)
Cl (0.000, 0.000, 0.500)
Cl (0.500, 0.500, 0.500)

Computed properties:
Formation energy from raw total energies   -1.070 eV/atom
Electronic total energy   -5.62 eV/atom
Theoretical density   6.32 Mg/m³